PBE-GGA GaHg2Pb6, optimized geometry; energy = -2.83 eV per atom; formation energy from the elements = 0.050 eV per atom; M_tot = 0.00 μB/atom
1.0
7.9268 -1.7764 0.0000
7.9268 1.7764 0.0000
-6.7983 0.0000 9.4979
Ga Hg Pb
1 2 6
direct
0.0000 0.0000 0.0000
0.4073 0.4073 0.7643
0.5927 0.5927 0.2357
0.0530 0.0530 0.6830
0.2154 0.2154 0.0862
0.3197 0.3197 0.4373
0.6803 0.6803 0.5627
0.7846 0.7846 0.9138
0.9470 0.9470 0.3170

PBE-GGA Ga2Hg8Pb3, optimized geometry; energy = -1.46 eV per atom; formation energy from the elements = 0.045 eV per atom; M_tot = 0.00 μB/atom
1.0
3.5069 0.0000 0.0000
1.0399 8.3175 0.0000
1.2179 0.2395 11.8383
Ga Hg Pb
2 8 3
direct
0.1855 0.1019 0.0533
0.8145 0.8981 0.9467
0.0047 0.6958 0.3199
0.0501 0.6165 0.8161
0.4004 0.6680 0.0736
0.4168 0.9804 0.7510
0.5832 0.0196 0.2490
0.5996 0.3320 0.9264
0.9499 0.3835 0.1839
0.9953 0.3042 0.6801
0.0000 0.0000 0.5000
0.4215 0.3448 0.4230
0.5785 0.6552 0.5770

PBE-GGA Ga2Hg5Pb5, optimized geometry; energy = -2.13 eV per atom; formation energy from the elements = 0.042 eV per atom; M_tot = 0.00 μB/atom
1.0
5.7650 -2.6702 0.0000
5.7650 2.6702 0.0000
-3.7014 0.0000 10.5723
Ga Hg Pb
2 5 5
direct
0.2460 0.2460 0.4445
0.7540 0.7540 0.5555
0.0000 0.0000 0.5000
0.0279 0.0279 0.1917
0.2241 0.2241 0.0532
0.7759 0.7759 0.9468
0.9721 0.9721 0.8083
0.2560 0.2560 0.7292
0.4599 0.4599 0.3245
0.5000 0.5000 0.0000
0.5401 0.5401 0.6755
0.7440 0.7440 0.2708

PBE-GGA GaHg4Pb15, optimized geometry; energy = -2.99 eV per atom; formation energy from the elements = 0.005 eV per atom; M_tot = 0.00 μB/atom
1.0
4.8398 0.0000 0.0000
0.0000 4.8398 0.0000
0.0000 0.0000 25.3656
Ga Hg Pb
1 4 15
direct
0.0000 0.0000 0.0000
0.0000 0.0000 0.1987
0.0000 0.0000 0.3999
0.0000 0.0000 0.6001
0.0000 0.0000 0.8013
0.0000 0.5000 0.0979
0.0000 0.5000 0.2993
0.0000 0.5000 0.5000
0.0000 0.5000 0.7007
0.0000 0.5000 0.9021
0.5000 0.0000 0.0979
0.5000 0.0000 0.2993
0.5000 0.0000 0.5000
0.5000 0.0000 0.7007
0.5000 0.0000 0.9021
0.5000 0.5000 0.0000
0.5000 0.5000 0.1989
0.5000 0.5000 0.3995
0.5000 0.5000 0.6005
0.5000 0.5000 0.8011

PBE-GGA GaHgPb3, optimized geometry; energy = -2.56 eV per atom; formation energy from the elements = 0.335 eV per atom; M_tot = 0.00 μB/atom
1.0
5.5575 0.0000 0.0000
0.0000 5.5575 0.0000
0.0000 0.0000 5.5575
Ga Hg Pb
1 1 3
direct
0.0000 0.0000 0.0000
0.5000 0.5000 0.5000
0.0000 0.0000 0.5000
0.0000 0.5000 0.0000
0.5000 0.0000 0.0000

PBE-GGA Ga3Hg3Pb, optimized geometry; energy = -1.65 eV per atom; formation energy from the elements = 0.307 eV per atom; M_tot = 0.00 μB/atom
1.0
7.5338 0.0000 0.0000
0.0000 7.5338 0.0000
0.0000 0.0000 7.5338
Ga Hg Pb
6 6 2
direct
0.0000 0.2500 0.5000
0.0000 0.7500 0.5000
0.2500 0.5000 0.0000
0.5000 0.0000 0.2500
0.5000 0.0000 0.7500
0.7500 0.5000 0.0000
0.0000 0.5000 0.2500
0.0000 0.5000 0.7500
0.2500 0.0000 0.5000
0.5000 0.2500 0.0000
0.5000 0.7500 0.0000
0.7500 0.0000 0.5000
0.0000 0.0000 0.0000
0.5000 0.5000 0.5000

In states/eV/cell, the DOS at the Fermi energy values for the records above are, in order, 4.4 4.8 4.5 2.6 4.0 6.8.